# Ti4In2Fe, relaxed, DFT PBE
# mass density = 5.63 Mg/m³
# formation energy from the elements = 0.19 eV/atom
# total magnetic moment = 0.00 μB per atom
# N(E_F) = 9.854 states/eV/f.u.
# final energy = -6.31 eV/atom
data_Ti4In2Fe
_cell_length_a 4.394
_cell_length_b 4.394
_cell_length_c 14.581
_cell_angle_alpha 90.00
_cell_angle_beta 90.00
_cell_angle_gamma 90.00
_symmetry_space_group_name_H-M 'I 4/m m m'
_symmetry_Int_Tables_number 139
_symmetry_space_group_name_Hall '-I 4 2'
loop_
_atom_site_label
_atom_site_fract_x
_atom_site_fract_y
_atom_site_fract_z
_atom_site_occupancy
Ti1 0.000 0.000 0.163 1
Ti2 0.000 0.500 0.000 1
In1 0.000 0.000 0.358 1
Fe1 0.000 0.000 0.000 1